A relaxed structure of Sr4Li2B12O23. Source: Alexandria via LeMat-Bulk, functional PBE-GGA.

Results
raw formation energy = -60.6 kcal/mol of atoms
volume = 10.41 Å³ per atom
total magnetic moment = 0.00 μB/atom
space-group type = P2_1/c

Lattice parameters (Å, degrees): 8.6333 6.5296 15.4886 77.91 90.00 90.00
Closest atoms and distances in Å follow each position.
Positions (direct):
Sr1 0.8261 0.9703 0.2279  8 O 2.60-2.91
Sr2 0.3261 0.0297 0.2721  8 O 2.60-2.91
Sr3 0.1739 0.0297 0.7721  8 O 2.60-2.91
Sr4 0.6739 0.9703 0.7279  8 O 2.60-2.91
Sr5 0.9870 0.3900 0.3864  8 O 2.55-2.81
Sr6 0.4870 0.6100 0.1136  8 O 2.55-2.81
Sr7 0.0130 0.6100 0.6136  8 O 2.55-2.81
Sr8 0.5130 0.3900 0.8864  8 O 2.55-2.81
Li1 0.8053 0.3426 0.0249  4 O 1.95-2.06
Li2 0.3053 0.6574 0.4751  4 O 1.95-2.06
Li3 0.1947 0.6574 0.9751  4 O 1.95-2.06
Li4 0.6947 0.3426 0.5249  4 O 1.95-2.06
B1 0.6553 0.0652 0.4226  3 O 1.36-1.41
B2 0.1553 0.9348 0.0774  3 O 1.36-1.41
B3 0.3447 0.9348 0.5774  3 O 1.36-1.41
B4 0.8447 0.0652 0.9226  3 O 1.36-1.41
B5 0.8325 0.7535 0.0388  3 O 1.36-1.40
B6 0.3325 0.2465 0.4612  3 O 1.36-1.40
B7 0.1675 0.2465 0.9612  3 O 1.36-1.40
B8 0.6675 0.7535 0.5388  3 O 1.36-1.40
B9 0.8838 0.4773 0.1839  4 O 1.47-1.56
B10 0.3838 0.5227 0.3161  4 O 1.47-1.56
B11 0.1162 0.5227 0.8161  4 O 1.47-1.56
B12 0.6162 0.4773 0.6839  4 O 1.47-1.56
B13 0.6033 0.7155 0.3825  4 O 1.45-1.51
B14 0.1033 0.2845 0.1175  4 O 1.45-1.51
B15 0.3967 0.2845 0.6175  4 O 1.45-1.51
B16 0.8967 0.7155 0.8825  4 O 1.45-1.51
B17 0.6663 0.4263 0.3079  4 O 1.45-1.58
B18 0.1663 0.5737 0.1921  4 O 1.45-1.58
B19 0.3337 0.5737 0.6921  4 O 1.45-1.58
B20 0.8337 0.4263 0.8079  4 O 1.45-1.58
B21 0.0405 0.9025 0.4273  3 O 1.36-1.45
B22 0.5405 0.0975 0.0727  3 O 1.36-1.45
B23 0.9595 0.0975 0.5727  3 O 1.36-1.45
B24 0.4595 0.9025 0.9273  3 O 1.36-1.45
O1 0.9398 0.3282 0.1314  2 B 1.47
O2 0.4398 0.6718 0.3686  2 B 1.47
O3 0.0602 0.6718 0.8686  2 B 1.47
O4 0.5602 0.3282 0.6314  2 B 1.47
O5 0.5321 0.9772 0.1559  1 B 1.36
O6 0.0321 0.0228 0.3441  1 B 1.36
O7 0.4679 0.0228 0.8441  1 B 1.36
O8 0.9679 0.9772 0.6559  1 B 1.36
O9 0.6796 0.2751 0.4013  1 B 1.36
O10 0.1796 0.7249 0.0987  1 B 1.36
O11 0.3204 0.7249 0.5987  1 B 1.36
O12 0.8204 0.2751 0.9013  1 B 1.36
O13 0.8357 0.9727 0.0135  2 B 1.40-1.41
O14 0.3357 0.0273 0.4865  2 B 1.40-1.41
O15 0.1643 0.0273 0.9865  2 B 1.40-1.41
O16 0.6643 0.9727 0.5135  2 B 1.40-1.41
O17 0.7099 0.6305 0.3264  2 B 1.45-1.47
O18 0.2099 0.3695 0.1736  2 B 1.45-1.47
O19 0.2901 0.3695 0.6736  2 B 1.45-1.47
O20 0.7901 0.6305 0.8264  2 B 1.45-1.47
O21 0.0843 0.6966 0.4493  1 B 1.37
O22 0.5843 0.3034 0.0507  1 B 1.37
O23 0.9157 0.3034 0.5507  1 B 1.37
O24 0.4157 0.6966 0.9493  1 B 1.37
O25 0.8548 0.6360 0.9773  2 B 1.36-1.50
O26 0.3548 0.3640 0.5227  2 B 1.36-1.50
O27 0.1452 0.3640 0.0227  2 B 1.36-1.50
O28 0.6452 0.6360 0.4773  2 B 1.36-1.50
O29 0.7784 0.3581 0.2502  2 B 1.45-1.47
O30 0.2784 0.6419 0.2498  2 B 1.45-1.47
O31 0.2216 0.6419 0.7498  2 B 1.45-1.47
O32 0.7216 0.3581 0.7502  2 B 1.45-1.47
O33 0.0086 0.5763 0.2250  2 B 1.45-1.47
O34 0.5086 0.4237 0.2750  2 B 1.45-1.47
O35 0.9914 0.4237 0.7750  2 B 1.45-1.47
O36 0.4914 0.5763 0.7250  2 B 1.45-1.47
O37 0.0000 0.0000 0.5000  2 B 1.45
O38 0.5000 0.0000 0.0000  2 B 1.45
O39 0.7961 0.6646 0.1249  1 B 1.37
O40 0.2961 0.3354 0.3751  1 B 1.37
O41 0.2039 0.3354 0.8751  1 B 1.37
O42 0.7039 0.6646 0.6249  1 B 1.37
O43 0.6240 0.9499 0.3605  2 B 1.37-1.51
O44 0.1240 0.0501 0.1395  2 B 1.37-1.51
O45 0.3760 0.0501 0.6395  2 B 1.37-1.51
O46 0.8760 0.9499 0.8605  2 B 1.37-1.51

---

A relaxed structure of SrLiBO3. Source: Alexandria via LeMat-Bulk, functional PBE-GGA.

Results
raw formation energy = -59.1 kcal/mol of atoms
energy above the most stable polymorph in this dataset = 87 meV per atom
volume = 11.37 Å³ per atom
total magnetic moment = 0.00 μB/atom
space-group type = P6_3/mmc

Lattice parameters (Å, degrees): 5.2892 5.2892 5.6316 90.00 90.00 120.00
Closest atoms and distances in Å follow each position.
Positions (direct):
Sr1 0.6667 0.3333 0.2500  6 O 2.65, 2 B 2.82
Sr2 0.3333 0.6667 0.7500  6 O 2.65, 2 B 2.82
Li1 0.0000 0.0000 0.5000  6 O 2.18
Li2 0.0000 0.0000 0.0000  6 O 2.18
B1 0.3333 0.6667 0.2500  3 O 1.39
B2 0.6667 0.3333 0.7500  3 O 1.39
O1 0.8179 0.1821 0.7500  1 B 1.39
O2 0.1821 0.3642 0.2500  1 B 1.39
O3 0.3642 0.1821 0.7500  1 B 1.39
O4 0.6358 0.8179 0.2500  1 B 1.39
O5 0.8179 0.6358 0.7500  1 B 1.39
O6 0.1821 0.8179 0.2500  1 B 1.39

---

A relaxed structure of Sr3LiB2O6. Source: Alexandria via LeMat-Bulk, functional PBE-GGA.

Results
raw formation energy = -58.4 kcal/mol of atoms
volume = 14.08 Å³ per atom
total magnetic moment = 0.00 μB/atom
space-group type = P-3m1

Lattice parameters (Å, degrees): 5.3307 5.3307 6.8678 90.00 90.00 120.00
Closest atoms and distances in Å follow each position.
Positions (direct):
Sr1 0.3333 0.6667 0.6807  6 O 2.68, 1 B 2.78
Sr2 0.6667 0.3333 0.3193  6 O 2.68, 1 B 2.78
Sr3 0.0000 0.0000 0.0000  6 O 2.62
Li1 0.0000 0.0000 0.5000  6 O 2.21
B1 0.6667 0.3333 0.7240  3 O 1.39
B2 0.3333 0.6667 0.2760  3 O 1.39
O1 0.6343 0.8172 0.2921  1 B 1.39
O2 0.1828 0.3657 0.2921  1 B 1.39
O3 0.1828 0.8172 0.2921  1 B 1.39
O4 0.8172 0.6343 0.7079  1 B 1.39
O5 0.3657 0.1828 0.7079  1 B 1.39
O6 0.8172 0.1828 0.7079  1 B 1.39

---

A relaxed structure of SrLiB2O. Source: Alexandria via LeMat-Bulk, functional PBE-GGA.

Results
raw formation energy = 32.7 kcal/mol of atoms
volume = 25.36 Å³ per atom
total magnetic moment = 0.00 μB/atom
space-group type = P4/mmm

Lattice parameters (Å, degrees): 5.2707 4.5636 5.2707 90.00 90.00 90.00
Closest atoms and distances in Å follow each position.
Positions (direct):
Sr1 0.0000 0.0000 0.0000  2 O 2.28
B1 0.0000 0.0000 0.5000  2 Sr 2.64
B2 0.5000 0.0000 0.0000  2 Sr 2.64
O1 0.0000 0.5000 0.0000  2 Sr 2.28
Li1 0.5000 0.5000 0.5000  8 B 3.49, 4 O 3.73

---

Repeat the second record exactly.
A relaxed structure of SrLiBO3. Source: Alexandria via LeMat-Bulk, functional PBE-GGA.

Results
raw formation energy = -59.1 kcal/mol of atoms
energy above the most stable polymorph in this dataset = 87 meV per atom
volume = 11.37 Å³ per atom
total magnetic moment = 0.00 μB/atom
space-group type = P6_3/mmc

Lattice parameters (Å, degrees): 5.2892 5.2892 5.6316 90.00 90.00 120.00
Closest atoms and distances in Å follow each position.
Positions (direct):
Sr1 0.6667 0.3333 0.2500  6 O 2.65, 2 B 2.82
Sr2 0.3333 0.6667 0.7500  6 O 2.65, 2 B 2.82
Li1 0.0000 0.0000 0.5000  6 O 2.18
Li2 0.0000 0.0000 0.0000  6 O 2.18
B1 0.3333 0.6667 0.2500  3 O 1.39
B2 0.6667 0.3333 0.7500  3 O 1.39
O1 0.8179 0.1821 0.7500  1 B 1.39
O2 0.1821 0.3642 0.2500  1 B 1.39
O3 0.3642 0.1821 0.7500  1 B 1.39
O4 0.6358 0.8179 0.2500  1 B 1.39
O5 0.8179 0.6358 0.7500  1 B 1.39
O6 0.1821 0.8179 0.2500  1 B 1.39

---

Question: What is the formula in the second record?
Answer: SrLiBO3

---

Question: volume of number 4 (SrLiB2O)?
Answer: 25.36 Å³ per atom